Material: Ca3NdHo2Se6
Method: DFT, GGA-PBE
State: optimized geometry

Cell lengths 7.160, 12.384, 7.264 Å; angles 90.00, 109.23, 90.00 degrees
Space group C2/m (No. 12)
One atom of each set of equivalent atoms:
Ca: 0.000 0.000 0.000
Ca: 0.000 0.336 0.000
Nd: 0.000 0.500 0.500
Ho: 0.000 0.168 0.500
Se: 0.239 0.000 0.747
Se: 0.246 0.171 0.252

Results
Its crystal system is monoclinic. The uncorrected formation energy is -1.875 eV per atom. The electronic total energy is -126.67 eV per cell.